# PmNd2Br

A relaxed PmNd2Br crystal (GGA-PBE, the Alexandria database).

V ... 32.1 A^3/atom
Crystal system ... tetragonal
Energy above the most stable polymorph in this dataset ... 0.097 eV/atom
E ... -4.457 eV/atom

a b c (Å): 3.6253 3.6253 9.7741
angles (deg): 90.00 90.00 90.00
With the nearest neighbours (Å) after each atom.
Fractional positions:
1 Nd 0.0000 0.0000 0.7653  4 Br 3.44, 4 Nd 3.63, 4 Pm 3.65
2 Nd 0.0000 0.0000 0.2347  4 Br 3.44, 4 Nd 3.63, 4 Pm 3.65
3 Br 0.5000 0.5000 0.0000  8 Nd 3.44, 4 Br 3.63
4 Pm 0.5000 0.5000 0.5000  4 Pm 3.63, 8 Nd 3.65

# PmNdBr2

A relaxed PmNdBr2 crystal (GGA-PBE, the Alexandria database).

V ... 32.5 A^3/atom
Crystal system ... monoclinic
Energy above the most stable polymorph in this dataset ... 0.033 eV/atom
E ... -4.319 eV/atom

a b c (Å): 3.7652 7.2068 9.5858
angles (deg): 89.99 89.95 90.04
With the nearest neighbours (Å) after each atom.
Fractional positions:
1 Pm 0.2003 0.9740 0.1838  4 Br 2.93-3.24
2 Pm 0.7013 0.4740 0.0321  4 Br 2.93-3.24
3 Nd 0.2026 0.7895 0.8102  4 Br 2.93-3.15
4 Nd 0.7004 0.2894 0.4059  4 Br 2.93-3.15
5 Br 0.6999 0.6709 0.2994  3 Pm 2.93-3.09, 1 Nd 2.93
6 Br 0.7023 0.4990 0.6947  3 Nd 3.02-3.15, 1 Pm 3.24
7 Br 0.1998 0.9988 0.5212  3 Nd 3.03-3.15, 1 Pm 3.24
8 Br 0.2012 0.1711 0.9165  3 Pm 2.93-3.09, 1 Nd 2.93

# PmNdPtBr

A relaxed PmNdPtBr crystal (GGA-PBE, the Alexandria database).

V ... 29.9 A^3/atom
Crystal system ... trigonal
E ... -5.537 eV/atom

a b c (Å): 4.1943 4.1938 8.2245
angles (deg): 90.01 104.78 120.00
With the nearest neighbours (Å) after each atom.
Fractional positions:
1 Pm 0.1015 0.9487 0.0653  3 Pt 2.86
2 Nd 0.5067 0.1512 0.6734  3 Pt 2.88
3 Pt 0.3055 0.5506 0.8714  3 Pm 2.86, 3 Nd 2.88
4 Br 0.9642 0.3803 0.3595  3 Pm 3.35, 3 Nd 3.45-3.46

# PmNdRhBr

A relaxed PmNdRhBr crystal (GGA-PBE, the Alexandria database).

V ... 28.7 A^3/atom
Crystal system ... trigonal
E ... -5.699 eV/atom

a b c (Å): 4.0929 4.0927 8.2517
angles (deg): 90.01 104.36 120.00
With the nearest neighbours (Å) after each atom.
Fractional positions:
1 Pm 0.1001 0.9480 0.0634  3 Rh 2.81
2 Nd 0.5076 0.1516 0.6748  3 Rh 2.83
3 Rh 0.3051 0.5504 0.8711  3 Pm 2.81, 3 Nd 2.83
4 Br 0.9651 0.3809 0.3604  3 Pm 3.33, 3 Nd 3.43

# PmNdRuBr

A relaxed PmNdRuBr crystal (GGA-PBE, the Alexandria database).

V ... 28.2 A^3/atom
Crystal system ... monoclinic
E ... -5.851 eV/atom

a b c (Å): 4.0560 4.0600 8.2620
angles (deg): 90.01 104.15 120.02
With the nearest neighbours (Å) after each atom.
Fractional positions:
1 Pm 0.1012 0.9485 0.0650  3 Ru 2.81
2 Nd 0.5059 0.1507 0.6723  3 Ru 2.82
3 Ru 0.3044 0.5500 0.8701  3 Pm 2.81, 3 Nd 2.82
4 Br 0.9664 0.3816 0.3622  3 Pm 3.32, 3 Nd 3.39-3.40

# PmNdSbBr

A relaxed PmNdSbBr crystal (GGA-PBE, the Alexandria database).

V ... 27.8 A^3/atom
Crystal system ... cubic
E ... -4.937 eV/atom

a b c (Å): 5.3950 5.3950 5.3950
angles (deg): 60.00 60.00 60.00
With the nearest neighbours (Å) after each atom.
Fractional positions:
1 Sb 0.2500 0.2500 0.2500  4 Nd 3.30, 4 Pm 3.30
2 Nd 0.5000 0.5000 0.5000  4 Br 3.30, 4 Sb 3.30
3 Br 0.7500 0.7500 0.7500  4 Pm 3.30, 4 Nd 3.30
4 Pm 0.0000 0.0000 0.0000  4 Sb 3.30, 4 Br 3.30

# PmNdSeBr

A relaxed PmNdSeBr crystal (GGA-PBE, the Alexandria database).

V ... 27.6 A^3/atom
Crystal system ... monoclinic
Energy above the most stable polymorph in this dataset ... 0.000 eV/atom
E ... -5.110 eV/atom

a b c (Å): 3.9866 4.0049 8.3093
angles (deg): 89.96 103.77 120.01
With the nearest neighbours (Å) after each atom.
Fractional positions:
1 Pm 0.3221 0.5589 0.8980  3 Se 2.89, 3 Br 3.20
2 Nd 0.9489 0.3728 0.3346  3 Se 2.89-2.90
3 Se 0.1351 0.9654 0.1165  3 Nd 2.89-2.90, 3 Pm 2.89
4 Br 0.4718 0.1338 0.6205  3 Pm 3.20, 3 Nd 3.24-3.25

# PmNdSeBr

A relaxed PmNdSeBr crystal (GGA-PBE, the Alexandria database).

V ... 24.6 A^3/atom
Crystal system ... cubic
Energy above the most stable polymorph in this dataset ... 0.095 eV/atom
E ... -5.014 eV/atom

a b c (Å): 5.1786 5.1786 5.1786
angles (deg): 60.00 60.00 60.00
With the nearest neighbours (Å) after each atom.
Fractional positions:
1 Nd 0.5000 0.5000 0.5000  4 Se 3.17, 4 Br 3.17
2 Se 0.2500 0.2500 0.2500  4 Nd 3.17, 4 Pm 3.17
3 Br 0.7500 0.7500 0.7500  4 Nd 3.17, 4 Pm 3.17
4 Pm 0.0000 0.0000 0.0000  4 Se 3.17, 4 Br 3.17